Material: Ba2InGaPt
Method: DFT, GGA-PBE
State: relaxed

abc: 6.206 6.206 4.824
angles: 90.00 90.00 90.00
Fractional positions:
Ba1 0.000 0.500 0.000
In1 0.500 0.500 0.500
Pt1 0.000 0.000 0.000
Ga1 0.000 0.000 0.500
Ba2 0.500 0.000 0.000

Results
**Formation enthalpy at 0 K**: -231 kJ/mol of formula units
**SG**: P4/mmm (123)
**DOS at the Fermi energy**: 5.33 states/eV/f.u.
**Spin magnetization**: 0.000 μB per cell
**Energy**: -3.6082 eV/atom